The following is a DFT calculation (PBE+U) of a relaxed CaCo2F6 crystal. Values from VASP.

Results
E = -5.3358 eV per atom
Spin magnetization = 6.00 Bohr magnetons per cell
SG = P-31m

The structure in Quantum ESPRESSO input format:
```
&SYSTEM
  ibrav = 0, nat = 9, ntyp = 3
/
ATOMIC_SPECIES
F 19.00 F.upf
Ca 40.08 Ca.upf
Co 58.93 Co.upf
ATOMIC_POSITIONS angstrom
F -0.8419 0.5256 4.7960
F -2.7247 2.8945 0.5219
F -1.1486 0.8522 1.8044
F -3.6361 -0.0325 3.2810
F 0.0694 3.4527 2.0369
F -2.4181 2.5679 3.5135
Ca 0.0000 0.0000 0.0000
Co -3.1214 1.4428 1.9334
Co -0.4452 1.9773 3.3845
CELL_PARAMETERS angstrom
-1.2852 4.6874 0.6436
-5.1550 -1.4355 0.1605
2.8736 0.1682 4.5138
```